Record 1
VASP calculation (PBE) on a relaxed structure of BaY2Co.

Unit cell a=3.4943 b=3.4946 c=9.8936 alpha=90.00 beta=90.08 gamma=90.00
Space group P2/m (No. 10)
One atom of each set of equivalent atoms:
Ba1 0.0000 0.0000 0.0000 x1
Y1 0.4995 0.5000 0.3397 x2
Co1 0.0000 0.0000 0.5000 x1

Properties
The calculation puts the distance to the lowest polymorph of the same formula at 0.026 eV/atom. The magnetic moment is 0.543 μB per formula unit. The calculated formation energy is 0.0439 eV/atom.


Record 2
VASP calculation (PBE) on a relaxed structure of BaY2Co.

Unit cell a=7.5499 b=7.5499 c=7.5499 alpha=90.00 beta=90.00 gamma=90.00
Space group Fm-3m (No. 225)
One atom of each set of equivalent atoms:
Ba1 0.0000 0.0000 0.0000 x4
Y1 0.2500 0.2500 0.2500 x8
Co1 0.0000 0.0000 0.5000 x4

Properties
The calculation puts the distance to the lowest polymorph of the same formula at 0.513 eV/atom. The magnetic moment is 0.627 μB per formula unit. The calculated formation energy is 0.5300 eV/atom.


Record 3
VASP calculation (PBE) on a relaxed structure of Ba2YCo.

Unit cell a=5.6726 b=5.6726 c=8.0145 alpha=90.00 beta=90.00 gamma=90.00
Space group I-4m2 (No. 119)
One atom of each set of equivalent atoms:
Ba1 0.0000 0.0000 0.0000 x2
Ba2 0.0000 0.5000 0.2500 x2
Y1 0.0000 0.5000 0.7500 x2
Co1 0.0000 0.0000 0.5000 x2

Properties
The calculation puts the distance to the lowest polymorph of the same formula at 0.501 eV/atom. The magnetic moment is 0.924 μB per formula unit. The calculated formation energy is 0.6695 eV/atom.


Record 4
VASP calculation (PBE) on a relaxed structure of BaYCo2.

Unit cell a=3.7536 b=3.7536 c=7.1756 alpha=90.00 beta=90.00 gamma=90.00
Space group P4/mmm (No. 123)
One atom of each set of equivalent atoms:
Ba1 0.0000 0.0000 0.0000 x1
Y1 0.0000 0.0000 0.5000 x1
Co1 0.5000 0.5000 0.3425 x2

Properties
The calculation puts the distance to the lowest polymorph of the same formula at 0.225 eV/atom. The magnetic moment is 2.530 μB per formula unit. The calculated formation energy is 0.2747 eV/atom.


Record 5
VASP calculation (PBE) on a relaxed structure of BaY3Co.

Unit cell a=5.4570 b=5.4570 c=5.4570 alpha=90.00 beta=90.00 gamma=90.00
Space group Pm-3m (No. 221)
One atom of each set of equivalent atoms:
Ba1 0.0000 0.0000 0.0000 x1
Y1 0.0000 0.5000 0.5000 x3
Co1 0.5000 0.5000 0.5000 x1

Properties
The calculation puts the distance to the lowest polymorph of the same formula at 0.000 eV/atom. The magnetic moment is 0.000 μB per formula unit. The calculated formation energy is -0.0020 eV/atom.


Record 6
VASP calculation (PBE) on a relaxed structure of BaYCo2.

Unit cell a=3.7409 b=3.7409 c=24.1165 alpha=90.00 beta=90.00 gamma=120.00
Space group R-3m (No. 166, hexagonal axes)
One atom of each set of equivalent atoms:
Ba1 0.0000 0.0000 0.0000 x3
Y1 0.0000 0.0000 0.5000 x3
Co1 0.0000 0.0000 0.2417 x6

Properties
The calculation puts the distance to the lowest polymorph of the same formula at 0.554 eV/atom. The magnetic moment is 1.418 μB per formula unit. The calculated formation energy is 0.6034 eV/atom.


Record 7
VASP calculation (PBE) on a relaxed structure of Ba2YCo.

Unit cell a=8.0993 b=8.0993 c=8.0993 alpha=90.00 beta=90.00 gamma=90.00
Space group Fm-3m (No. 225)
One atom of each set of equivalent atoms:
Ba1 0.2500 0.2500 0.2500 x8
Y1 0.0000 0.0000 0.0000 x4
Co1 0.0000 0.0000 0.5000 x4

Properties
The calculation puts the distance to the lowest polymorph of the same formula at 0.648 eV/atom. The magnetic moment is 0.000 μB per formula unit. The calculated formation energy is 0.8166 eV/atom.


Record 8
VASP calculation (PBE) on a relaxed structure of Ba3YCo.

Unit cell a=5.9898 b=5.9898 c=5.9898 alpha=90.00 beta=90.00 gamma=90.00
Space group Pm-3m (No. 221)
One atom of each set of equivalent atoms:
Ba1 0.0000 0.0000 0.5000 x3
Y1 0.5000 0.5000 0.5000 x1
Co1 0.0000 0.0000 0.0000 x1

Properties
The magnetic moment is 0.000 μB per formula unit. The calculated formation energy is 0.4604 eV/atom.


Record 9
VASP calculation (PBE) on a relaxed structure of BaYCo2.

Unit cell a=5.0618 b=5.0618 c=3.5176 alpha=90.00 beta=90.00 gamma=90.00
Space group P4/mmm (No. 123)
One atom of each set of equivalent atoms:
Ba1 0.0000 0.0000 0.0000 x1
Y1 0.5000 0.5000 0.0000 x1
Co1 0.0000 0.5000 0.5000 x2

Properties
The calculation puts the distance to the lowest polymorph of the same formula at 0.425 eV/atom. The magnetic moment is 1.692 μB per formula unit. The calculated formation energy is 0.4747 eV/atom.


Record 10
VASP calculation (PBE) on a relaxed structure of BaYCo2.

Unit cell a=6.9539 b=6.9539 c=6.9539 alpha=90.00 beta=90.00 gamma=90.00
Space group F-43m (No. 216)
One atom of each set of equivalent atoms:
Ba1 0.0000 0.0000 0.0000 x4
Y1 0.2500 0.2500 0.7500 x4
Co1 0.0000 0.0000 0.5000 x4
Co2 0.2500 0.2500 0.2500 x4

Properties
The calculation puts the distance to the lowest polymorph of the same formula at 0.699 eV/atom. The magnetic moment is 2.330 μB per formula unit. The calculated formation energy is 0.7489 eV/atom.


Record 11
VASP calculation (PBE) on a relaxed structure of BaYCo2.

Unit cell a=3.3761 b=3.3761 c=8.4938 alpha=90.00 beta=90.00 gamma=90.00
Space group P4mm (No. 99)
One atom of each set of equivalent atoms:
Ba1 0.0000 0.0000 0.0000 x1
Y1 0.5000 0.5000 0.5793 x1
Co1 0.0000 0.0000 0.3671 x1
Co2 0.5000 0.5000 0.2813 x1

Properties
The calculation puts the distance to the lowest polymorph of the same formula at 0.288 eV/atom. The magnetic moment is 2.418 μB per formula unit. The calculated formation energy is 0.3376 eV/atom.


Record 12
VASP calculation (PBE) on a relaxed structure of BaY2Co.

Unit cell a=3.8549 b=3.8549 c=8.7244 alpha=90.00 beta=90.00 gamma=90.00
Space group P4mm (No. 99)
One atom of each set of equivalent atoms:
Ba1 0.0000 0.0000 0.0000 x1
Y1 0.0000 0.0000 0.3951 x1
Y2 0.5000 0.5000 0.6449 x1
Co1 0.5000 0.5000 0.3397 x1

Properties
The calculation puts the distance to the lowest polymorph of the same formula at 0.154 eV/atom. The magnetic moment is 0.000 μB per formula unit. The calculated formation energy is 0.1718 eV/atom.


Record 13
VASP calculation (PBE) on a relaxed structure of Ba2YCo.

Unit cell a=3.9993 b=3.9993 c=32.4315 alpha=90.00 beta=90.00 gamma=120.00
Space group R-3m (No. 166, hexagonal axes)
One atom of each set of equivalent atoms:
Ba1 0.0000 0.0000 0.2278 x6
Y1 0.0000 0.0000 0.0000 x3
Co1 0.0000 0.0000 0.5000 x3

Properties
The calculation puts the distance to the lowest polymorph of the same formula at 0.411 eV/atom. The magnetic moment is 1.486 μB per formula unit. The calculated formation energy is 0.5795 eV/atom.


Record 14
VASP calculation (PBE) on a relaxed structure of Ba2YCo.

Unit cell a=5.2365 b=15.3668 c=4.2826 alpha=90.00 beta=90.00 gamma=90.00
Space group Cmmm (No. 65)
One atom of each set of equivalent atoms:
Ba1 0.0000 0.1395 0.0000 x4
Y1 0.0000 0.5000 0.5000 x2
Co1 0.0000 0.0000 0.5000 x2

Properties
The calculation puts the distance to the lowest polymorph of the same formula at 0.074 eV/atom. The magnetic moment is 0.000 μB per formula unit. The calculated formation energy is 0.2426 eV/atom.


Record 15
VASP calculation (PBE) on a relaxed structure of Ba2YCo.

Unit cell a=3.8262 b=4.1546 c=18.9740 alpha=90.00 beta=90.00 gamma=90.00
Space group Amm2 (No. 38)
One atom of each set of equivalent atoms:
Ba1 0.0000 0.0000 0.0000 x2
Ba2 0.5000 0.0000 0.3021 x2
Y1 0.5000 0.0000 0.6421 x2
Co1 0.0000 0.0000 0.1612 x2

Properties
The calculation puts the distance to the lowest polymorph of the same formula at 0.000 eV/atom. The magnetic moment is 0.000 μB per formula unit. The calculated formation energy is 0.1682 eV/atom.


Record 16
VASP calculation (PBE) on a relaxed structure of Ba2YCo.

Unit cell a=3.6068 b=4.4100 c=18.7527 alpha=90.00 beta=90.00 gamma=90.00
Space group Immm (No. 71)
One atom of each set of equivalent atoms:
Ba1 0.0000 0.0000 0.1513 x4
Y1 0.0000 0.5000 0.0000 x2
Co1 0.0000 0.5000 0.5000 x2

Properties
The calculation puts the distance to the lowest polymorph of the same formula at 0.085 eV/atom. The magnetic moment is 0.425 μB per formula unit. The calculated formation energy is 0.2534 eV/atom.


Record 17
VASP calculation (PBE) on a relaxed structure of Ba2YZrCo.

Unit cell a=5.7769 b=5.7769 c=5.2905 alpha=90.00 beta=90.00 gamma=90.00
Space group P4/mmm (No. 123)
One atom of each set of equivalent atoms:
Ba1 0.0000 0.5000 0.0000 x2
Y1 0.0000 0.0000 0.5000 x1
Zr1 0.5000 0.5000 0.5000 x1
Co1 0.0000 0.0000 0.0000 x1

Properties
The magnetic moment is 2.592 μB per formula unit. The calculated formation energy is 0.6996 eV/atom.


Record 18
VASP calculation (PBE) on a relaxed structure of Ba2ZnCo.

Unit cell a=4.7406 b=4.7406 c=10.9152 alpha=90.00 beta=90.00 gamma=90.00
Space group I-4m2 (No. 119)
One atom of each set of equivalent atoms:
Ba1 0.0000 0.0000 0.0000 x2
Ba2 0.0000 0.5000 0.2500 x2
Zn1 0.0000 0.0000 0.5000 x2
Co1 0.0000 0.5000 0.7500 x2

Properties
The magnetic moment is 0.956 μB per formula unit. The calculated formation energy is 0.4773 eV/atom.


Record 19
VASP calculation (PBE) on a relaxed structure of Ba4ZnCo.

Unit cell a=10.1400 b=10.1400 c=10.1400 alpha=90.00 beta=90.00 gamma=90.00
Space group F-43m (No. 216)
One atom of each set of equivalent atoms:
Ba1 0.1248 0.1248 0.1248 x16
Zn1 0.0000 0.0000 0.5000 x4
Co1 0.2500 0.2500 0.7500 x4

Properties
The magnetic moment is 0.404 μB per formula unit. The calculated formation energy is 0.9458 eV/atom.


Record 20
VASP calculation (PBE) on a relaxed structure of BaZn2Co.

Unit cell a=7.1527 b=7.1527 c=7.1527 alpha=90.00 beta=90.00 gamma=90.00
Space group Fm-3m (No. 225)
One atom of each set of equivalent atoms:
Ba1 0.0000 0.0000 0.0000 x4
Zn1 0.2500 0.2500 0.2500 x8
Co1 0.0000 0.0000 0.5000 x4

Properties
The magnetic moment is 1.289 μB per formula unit. The calculated formation energy is 0.4366 eV/atom.


Number 1: DFT total energy -5.45 eV/atom. Number 2: DFT total energy -4.96 eV/atom. Number 3: DFT total energy -3.68 eV/atom. Number 4: DFT total energy -5.37 eV/atom. Number 5: DFT total energy -5.69 eV/atom. Number 6: DFT total energy -5.05 eV/atom. Number 7: DFT total energy -3.54 eV/atom. Number 8: DFT total energy -3.41 eV/atom. Number 9: DFT total energy -5.17 eV/atom. Number 10: DFT total energy -4.90 eV/atom. Number 11: DFT total energy -5.31 eV/atom. Number 12: DFT total energy -5.32 eV/atom. Number 13: DFT total energy -3.77 eV/atom. Number 14: DFT total energy -4.11 eV/atom. Number 15: DFT total energy -4.19 eV/atom. Number 16: DFT total energy -4.10 eV/atom. Number 17: DFT total energy -4.49 eV/atom. Number 18: DFT total energy -2.58 eV/atom. Number 19: DFT total energy -1.73 eV/atom. Number 20: DFT total energy -2.46 eV/atom.